# Pm4AlAg

A relaxed Pm4AlAg crystal (PBE, Alexandria).

Output
The calculation puts the energy above the most stable polymorph in this dataset at 0 meV/atom. As for the space group: Cm. The value obtained for the total magnetization is 0.00 μB per formula unit. Its energy of formation is -44.4 meV per atom.

```
6
Lattice="6.220 -1.843 0.000 6.220 1.843 0.000 -0.471 0.000 7.753" Properties=species:S:1:pos:R:3 pbc="T T T"
Pm 0.000 0.000 0.000
Pm 2.921 0.000 6.768
Pm 6.497 0.000 4.876
Pm 8.495 0.000 1.941
Al 4.889 0.000 2.173
Ag 10.249 0.000 4.394
```